Compound: Li4P5HO15
Source: the Alexandria database
Functional: GGA-PBE
Structure: optimized geometry

Summary:
D(E_F) in states/eV/cell: 0.00
Electronic total energy in eV per atom: -6.67
Spin magnetization in μB per formula unit: 0.0
Mass density in g/cm³: 2.5

a b c (Å): 7.0460 7.3179 11.4870
angles (deg): 75.59 81.52 84.08
Space group P-1 (No. 2)
Asymmetric unit:
Li 0.1017 0.1392 0.0439
Li 0.1158 0.1332 0.3096
Li 0.2057 0.2039 0.5176
Li 0.2280 0.2171 0.7553
P 0.1094 0.5309 0.1358
P 0.2066 0.6277 0.5493
P 0.2927 0.7416 0.2743
P 0.3459 0.7816 0.9389
P 0.4280 0.8450 0.6704
H 0.4814 0.2059 0.9185
O 0.0352 0.7666 0.5544
O 0.0612 0.3299 0.8814
O 0.0872 0.3234 0.1574
O 0.1431 0.9025 0.2509
O 0.1865 0.4193 0.5947
O 0.1911 0.9384 0.9363
O 0.2208 0.5566 0.2442
O 0.2721 0.5836 0.0176
O 0.2817 0.0100 0.6578
O 0.3205 0.6628 0.4134
O 0.3645 0.1271 0.3763
O 0.3707 0.6776 0.6178
O 0.4162 0.7322 0.8128
O 0.4660 0.1923 0.0142
O 0.4950 0.7712 0.2091